Density functional theory data (PBE) for a geometry-optimized NiSe3 structure.

Cell and atoms, written as CIF:
```
data_NiSe3
_chemical_formula_sum 'Ni1 Se3'
_symmetry_space_group_name_H-M 'P 1 2/m 1'
_symmetry_Int_Tables_number 10
_symmetry_space_group_name_Hall '-P 2y'
_cell_length_a 4.738
_cell_length_b 3.489
_cell_length_c 5.097
_cell_angle_alpha 90.00
_cell_angle_beta 113.18
_cell_angle_gamma 90.00
loop_
_atom_site_label
_atom_site_type_symbol
_atom_site_fract_x
_atom_site_fract_y
_atom_site_fract_z
Ni1 Ni 0.000 0.000 0.000
Se1 Se 0.000 0.000 0.500
Se2 Se 0.368 0.500 0.167
```

Computed properties:
- Formation energy without anion corrections: -0.0367 eV/atom
- Calculated total energy: -0.301 Ry/atom
- V: 19.365 Å³ per atom